The following is a DFT calculation (PBE-GGA) of a relaxed Ce3BiCCl crystal.

Results
Crystal system: monoclinic
Total moment in μB per formula unit: 2.71
Uncorrected energy in eV/atom: -6.1282

a b c (Å): 3.9308 8.4264 10.2040
angles (deg): 101.60 90.00 90.00
Element x y z (fractional)
Bi 0.2500 0.1709 0.2094
Ce 0.7500 0.8501 0.1445
Ce 0.7500 0.4260 0.1099
Ce 0.2500 0.5740 0.8901
C 0.2500 0.6529 0.1357
C 0.7500 0.3471 0.8643
Ce 0.7500 0.3982 0.6453
Cl 0.2500 0.1556 0.5789
Ce 0.2500 0.1499 0.8555
Cl 0.7500 0.8444 0.4211
Bi 0.7500 0.8291 0.7906
Ce 0.2500 0.6018 0.3547

***

The following is a DFT calculation (PBE-GGA) of a relaxed Rb2CeAsS5 crystal.

Results
Crystal system: orthorhombic
Total moment in μB per formula unit: 0.04
Uncorrected energy in eV/atom: -4.7411

a b c (Å): 4.3329 9.7769 13.9143
angles (deg): 90.00 90.00 102.80
Element x y z (fractional)
S 0.6899 0.3797 0.1522
Rb 0.8759 0.7518 0.1803
S 0.5078 0.0156 0.7875
S 0.3233 0.6465 0.3980
S 0.0454 0.0908 0.0012
Rb 0.1241 0.2482 0.6803
S 0.6767 0.3535 0.8980
S 0.9546 0.9092 0.5012
S 0.4922 0.9844 0.2875
S 0.6731 0.3463 0.5079
S 0.3101 0.6203 0.6522
Rb 0.8736 0.7473 0.8356
Ce 0.8023 0.6046 0.5360
As 0.5584 0.1168 0.9255
Ce 0.1977 0.3954 0.0360
S 0.3269 0.6537 0.0079
As 0.4416 0.8832 0.4255
Rb 0.1264 0.2527 0.3356

***

The following is a DFT calculation (PBE-GGA) of a relaxed NaSmPd10 crystal.

Results
E_form in eV per atom: -0.255
Crystal system: orthorhombic
Total moment in μB per formula unit: 0.00
Uncorrected energy in eV/atom: -5.0855

a b c (Å): 4.4835 5.3428 9.1887
angles (deg): 90.00 90.00 90.00
Element x y z (fractional)
Pd 0.5000 0.2483 0.7524
Pd 0.5000 0.2483 0.2476
Pd 0.5000 0.0000 0.5000
Pd 0.0000 0.0000 0.3319
Pd 0.0000 0.5000 0.1658
Sm 0.0000 0.0000 0.0000
Na 0.0000 0.5000 0.5000
Pd 0.5000 0.5000 0.0000
Pd 0.0000 0.0000 0.6681
Pd 0.0000 0.5000 0.8342
Pd 0.5000 0.7517 0.2476
Pd 0.5000 0.7517 0.7524

***

The following is a DFT calculation (PBE-GGA) of a relaxed BaTmPt2 crystal.

Results
E_form in eV per atom: -0.933
Crystal system: trigonal
Total moment in μB per formula unit: 0.00
Uncorrected energy in eV/atom: -5.5516
Energy above the lowest structure with this stoichiometry in meV/atom: 49.8

a b c (Å): 4.6521 4.6521 6.4690
angles (deg): 68.93 68.93 60.00
Element x y z (fractional)
Ba 0.5000 0.5000 0.5000
Pt 0.7129 0.7129 0.8612
Pt 0.2871 0.2871 0.1388
Tm 0.0000 0.0000 0.0000

***

The following is a DFT calculation (PBE-GGA) of a relaxed Ca3HfS crystal.

Results
Crystal system: cubic
Total moment in μB per formula unit: 3.90
Uncorrected energy in eV/atom: -3.0597
Energy above the lowest structure with this stoichiometry in meV/atom: 1157.5

a b c (Å): 5.7617 5.7617 5.7617
angles (deg): 90.00 90.00 90.00
Element x y z (fractional)
Hf 0.0000 0.0000 0.0000
Ca 0.0000 0.5000 0.0000
S 0.5000 0.5000 0.5000
Ca 0.0000 0.0000 0.5000
Ca 0.5000 0.0000 0.0000

***

The following is a DFT calculation (PBE-GGA) of a relaxed BC2 crystal.

Results
E_form in eV per atom: 0.366
Crystal system: monoclinic
Total moment in μB per formula unit: 0.00
Uncorrected energy in eV/atom: -8.0093
Energy above the lowest structure with this stoichiometry in meV/atom: 125.9

a b c (Å): 5.9915 5.9915 5.3060
angles (deg): 101.18 101.18 24.32
Element x y z (fractional)
B 0.6623 0.6623 0.3300
C 0.6677 0.6677 0.8244
C 0.5896 0.5896 0.0350
C 0.5837 0.5837 0.5566
C 0.2568 0.2568 0.3872
B 0.3219 0.3219 0.1460
C 0.3305 0.3305 0.6607
C 0.0077 0.0077 0.5213
B 0.9189 0.9189 0.2613
C 0.2472 0.2472 0.8605
B 0.0051 0.0051 0.9604
C 0.9086 0.9086 0.7066

***

The following is a DFT calculation (PBE-GGA) of a relaxed SrTaSi crystal.

Results
Crystal system: tetragonal
Total moment in μB per formula unit: 0.00
Uncorrected energy in eV/atom: -6.0035

a b c (Å): 7.2268 7.2268 7.2268
angles (deg): 155.26 155.26 35.27
Element x y z (fractional)
Sr 0.3490 0.3490 0.0000
Si 0.0156 0.0156 0.0000
Ta 0.6353 0.6353 0.0000

***

The following is a DFT calculation (PBE-GGA) of a relaxed PaFeSi crystal.

Results
Crystal system: hexagonal
Total moment in μB per formula unit: 0.00
Uncorrected energy in eV/atom: -7.8455

a b c (Å): 4.0531 6.7341 6.7341
angles (deg): 120.00 90.00 90.00
Element x y z (fractional)
Pa 0.5000 0.7213 0.7213
Pa 0.5000 0.2787 0.0000
Pa 0.5000 0.0000 0.2787
Fe 0.5000 0.3333 0.6667
Fe 0.0000 0.0000 0.0000
Si 0.0000 0.0000 0.6118
Fe 0.5000 0.6667 0.3333
Si 0.0000 0.6118 0.0000
Si 0.0000 0.3882 0.3882

***

The following is a DFT calculation (PBE-GGA) of a relaxed SiSbW2 crystal.

Results
Crystal system: tetragonal
Total moment in μB per formula unit: 0.00
Uncorrected energy in eV/atom: -8.3509
Energy above the lowest structure with this stoichiometry in meV/atom: 344.8

a b c (Å): 4.5128 4.5128 3.2387
angles (deg): 90.00 90.00 90.02
Element x y z (fractional)
W 0.0000 0.0000 0.0000
Sb 0.5000 0.0000 0.5000
W 0.5000 0.5000 0.0000
Si 0.0000 0.5000 0.5000

***

The following is a DFT calculation (PBE-GGA) of a relaxed Be2Zn2Tc crystal.

Results
E_form in eV per atom: 0.085
Crystal system: tetragonal
Total moment in μB per formula unit: 0.00
Uncorrected energy in eV/atom: -3.9883

a b c (Å): 6.6090 6.6090 2.6552
angles (deg): 90.00 90.00 90.00
Element x y z (fractional)
Be 0.1316 0.3684 0.0000
Zn 0.6644 0.8356 0.5000
Be 0.8684 0.6316 0.0000
Tc 0.5000 0.5000 0.0000
Be 0.6316 0.1316 0.0000
Tc 0.0000 0.0000 0.0000
Zn 0.3356 0.1644 0.5000
Zn 0.1644 0.6644 0.5000
Be 0.3684 0.8684 0.0000
Zn 0.8356 0.3356 0.5000

***

The following is a DFT calculation (PBE-GGA) of a relaxed Nd6Sm2TmMg crystal.

Results
E_form in eV per atom: 0.111
Crystal system: monoclinic
Total moment in μB per formula unit: 0.00
Uncorrected energy in eV/atom: -4.3006

a b c (Å): 9.6098 8.8928 8.8928
angles (deg): 116.84 93.97 93.97
Element x y z (fractional)
Nd 0.6125 0.5022 0.7095
Nd 0.1959 0.5701 0.0002
Sm 0.5492 0.2031 0.3010
Nd 0.8875 0.2905 0.4978
Nd 0.6959 0.0002 0.5701
Nd 0.8041 0.4299 0.9998
Mg 0.2500 0.4107 0.5893
Nd 0.1125 0.7095 0.5022
Sm 0.9508 0.6990 0.7969
Nd 0.5511 0.7646 0.1271
Nd 0.0511 0.1271 0.7646
Sm 0.0492 0.3010 0.2031
Nd 0.9489 0.8729 0.2354
Sm 0.4508 0.7969 0.6990
Tm 0.2500 0.9796 0.0204
Mg 0.7500 0.5893 0.4107
Nd 0.3041 0.9998 0.4299
Nd 0.4489 0.2354 0.8729
Tm 0.7500 0.0204 0.9796
Nd 0.3875 0.4978 0.2905

***

The following is a DFT calculation (PBE-GGA) of a relaxed Np2AlGaAu6 crystal.

Results
E_form in eV per atom: -0.149
Crystal system: triclinic
Total moment in μB per formula unit: 8.45
Uncorrected energy in eV/atom: -5.3802

a b c (Å): 8.4729 5.2984 6.9456
angles (deg): 50.78 59.23 76.02
Element x y z (fractional)
Au 0.1806 0.3661 0.9714
Au 0.0981 0.2518 0.4721
Au 0.6547 0.9977 0.2846
Ga 0.5000 0.5000 0.0000
Al 0.0000 0.0000 0.0000
Au 0.9019 0.7482 0.5279
Au 0.8194 0.6339 0.0286
Np 0.3259 0.7665 0.3426
Np 0.6741 0.2335 0.6574
Au 0.3453 0.0023 0.7154

***

total moment of number 4 (BaTmPt2)?
0.00 μB per formula unit

***

What did the first record say?
The following is a DFT calculation (PBE-GGA) of a relaxed Ce3BiCCl crystal.

Results
Crystal system: monoclinic
Total moment in μB per formula unit: 2.71
Uncorrected energy in eV/atom: -6.1282

a b c (Å): 3.9308 8.4264 10.2040
angles (deg): 101.60 90.00 90.00
Element x y z (fractional)
Bi 0.2500 0.1709 0.2094
Ce 0.7500 0.8501 0.1445
Ce 0.7500 0.4260 0.1099
Ce 0.2500 0.5740 0.8901
C 0.2500 0.6529 0.1357
C 0.7500 0.3471 0.8643
Ce 0.7500 0.3982 0.6453
Cl 0.2500 0.1556 0.5789
Ce 0.2500 0.1499 0.8555
Cl 0.7500 0.8444 0.4211
Bi 0.7500 0.8291 0.7906
Ce 0.2500 0.6018 0.3547

***

Copy entry 10 word for word.
The following is a DFT calculation (PBE-GGA) of a relaxed Be2Zn2Tc crystal.

Results
E_form in eV per atom: 0.085
Crystal system: tetragonal
Total moment in μB per formula unit: 0.00
Uncorrected energy in eV/atom: -3.9883

a b c (Å): 6.6090 6.6090 2.6552
angles (deg): 90.00 90.00 90.00
Element x y z (fractional)
Be 0.1316 0.3684 0.0000
Zn 0.6644 0.8356 0.5000
Be 0.8684 0.6316 0.0000
Tc 0.5000 0.5000 0.0000
Be 0.6316 0.1316 0.0000
Tc 0.0000 0.0000 0.0000
Zn 0.3356 0.1644 0.5000
Zn 0.1644 0.6644 0.5000
Be 0.3684 0.8684 0.0000
Zn 0.8356 0.3356 0.5000

***

The highest total moment belongs to which entry?
Np2AlGaAu6